Record 1
Compound: ZrAl2Ni
Source: the Alexandria database
Functional: PBE-GGA
Structure: relaxed

Values from the calculation:
calculated formation energy: -0.48 eV per atom

Cell lengths 3.9798, 3.9843, 5.6742 Å; angles 45.37, 90.00, 90.00 degrees
Last column: nearest neighbours and their distance in Å.
Atoms (fractional coordinates):
Zr: 0.0000 0.0000 0.5000  4 Ni 2.82, 8 Al 2.83-2.84
Ni: 0.5000 0.5000 0.5000  4 Zr 2.82, 8 Al 2.83-2.84
Al: 0.5000 0.5000 0.0000  4 Al 2.82, 4 Zr 2.83, 4 Ni 2.84
Al: 0.0000 0.0000 0.0000  4 Al 2.82, 4 Ni 2.83, 4 Zr 2.84



Record 2
Compound: ZrAl2Ni
Source: the Alexandria database
Functional: PBE-GGA
Structure: relaxed

Values from the calculation:
calculated formation energy: -0.43 eV per atom

Cell lengths 4.2852, 4.2852, 8.5657 Å; angles 90.00, 90.00, 120.00 degrees
Last column: nearest neighbours and their distance in Å.
Atoms (fractional coordinates):
Al: 0.3333 0.6667 0.0173  3 Al 2.49, 1 Ni 2.51
Al: 0.6667 0.3333 0.4131  4 Ni 2.37-2.63
Al: 0.6667 0.3333 0.9827  3 Al 2.49, 1 Ni 2.51
Al: 0.3333 0.6667 0.5869  4 Ni 2.37-2.63
Ni: 0.3333 0.6667 0.3098  5 Al 2.37-2.63, 3 Zr 2.64
Ni: 0.6667 0.3333 0.6902  5 Al 2.37-2.63, 3 Zr 2.64
Zr: 0.0000 0.0000 0.7968  3 Ni 2.64, 3 Al 2.94
Zr: 0.0000 0.0000 0.2032  3 Ni 2.64, 3 Al 2.94



Record 3
Compound: ZrAl2Ni
Source: the Alexandria database
Functional: PBE-GGA
Structure: relaxed

Values from the calculation:
calculated formation energy: -0.30 eV per atom

Cell lengths 4.6021, 4.6021, 5.1047 Å; angles 77.02, 77.02, 39.07 degrees
Last column: nearest neighbours and their distance in Å.
Atoms (fractional coordinates):
Al: 0.7593 0.7593 0.7414  3 Ni 2.52-2.70, 3 Al 2.60-2.65
Al: 0.0097 0.0097 0.9382  2 Ni 2.50, 3 Al 2.60-2.65
Zr: 0.2408 0.2408 0.2584  3 Ni 2.81-2.95, 7 Al 2.87-3.03, 2 Zr 3.08
Ni: 0.4903 0.4903 0.5621  5 Al 2.50-2.70



Record 4
Compound: ZrAl2Ni
Source: the Alexandria database
Functional: PBE-GGA
Structure: relaxed

Values from the calculation:
calculated formation energy: -0.28 eV per atom

Cell lengths 4.2058, 4.2058, 4.7226 Å; angles 90.00, 90.00, 120.00 degrees
Last column: nearest neighbours and their distance in Å.
Atoms (fractional coordinates):
Al: 0.6667 0.3333 0.2820  2 Ni 2.27-2.45
Al: 0.3333 0.6667 0.5524  3 Ni 2.63, 3 Al 2.74
Ni: 0.6667 0.3333 0.7637  2 Al 2.27-2.45
Zr: 0.0000 0.0000 0.9469  3 Ni 2.58



Record 5
Compound: Zr3AlNi12
Source: the Alexandria database
Functional: PBE-GGA
Structure: relaxed

Values from the calculation:
calculated formation energy: -0.44 eV per atom

Cell lengths 3.7256, 3.7256, 14.7166 Å; angles 90.00, 90.00, 90.00 degrees
Last column: nearest neighbours and their distance in Å.
Atoms (fractional coordinates):
Ni: 0.5000 0.0000 0.8856  8 Ni 2.51-2.67, 2 Al 2.51, 2 Zr 2.63
Ni: 0.5000 0.0000 0.1144  8 Ni 2.51-2.67, 2 Al 2.51, 2 Zr 2.63
Ni: 0.5000 0.0000 0.3719  8 Ni 2.63-2.65, 4 Zr 2.65-2.68
Ni: 0.0000 0.5000 0.8856  8 Ni 2.51-2.67, 2 Al 2.51, 2 Zr 2.63
Ni: 0.5000 0.5000 0.7555  4 Zr 2.63, 8 Ni 2.64-2.67
Ni: 0.5000 0.0000 0.6281  8 Ni 2.63-2.65, 4 Zr 2.65-2.68
Ni: 0.5000 0.5000 0.0000  8 Ni 2.51, 4 Al 2.63
Ni: 0.5000 0.5000 0.5000  4 Zr 2.63, 8 Ni 2.65
Ni: 0.0000 0.5000 0.1144  8 Ni 2.51-2.67, 2 Al 2.51, 2 Zr 2.63
Ni: 0.0000 0.5000 0.6281  8 Ni 2.63-2.65, 4 Zr 2.65-2.68
Ni: 0.0000 0.5000 0.3719  8 Ni 2.63-2.65, 4 Zr 2.65-2.68
Ni: 0.5000 0.5000 0.2445  4 Zr 2.63, 8 Ni 2.64-2.67
Zr: 0.0000 0.0000 0.2407  12 Ni 2.63-2.68
Zr: 0.0000 0.0000 0.5000  12 Ni 2.63-2.65
Zr: 0.0000 0.0000 0.7593  12 Ni 2.63-2.68
Al: 0.0000 0.0000 0.0000  12 Ni 2.51-2.63



Record 6
Compound: Zr2AlNi
Source: the Alexandria database
Functional: PBE-GGA
Structure: relaxed

Values from the calculation:
calculated formation energy: -0.27 eV per atom

Cell lengths 5.9125, 4.9370, 10.0239 Å; angles 90.00, 90.00, 90.00 degrees
Last column: nearest neighbours and their distance in Å.
Atoms (fractional coordinates):
Zr: 0.3438 0.4333 0.9096  2 Ni 2.58-2.80, 1 Al 2.86
Zr: 0.8438 0.0667 0.4096  2 Ni 2.58-2.80, 1 Al 2.86
Zr: 0.0601 0.4329 0.6278  2 Ni 2.69-2.71, 2 Al 2.86-2.87, 2 Zr 3.01
Zr: 0.8438 0.5667 0.0904  2 Ni 2.58-2.80, 1 Al 2.86
Zr: 0.0601 0.9329 0.8722  2 Ni 2.69-2.71, 2 Al 2.86-2.87, 2 Zr 3.01
Zr: 0.5601 0.5671 0.3722  2 Ni 2.69-2.71, 2 Al 2.86-2.87, 2 Zr 3.01
Zr: 0.5601 0.0671 0.1278  2 Ni 2.69-2.71, 2 Al 2.86-2.87, 2 Zr 3.01
Zr: 0.3438 0.9333 0.5904  2 Ni 2.58-2.80, 1 Al 2.86
Al: 0.5763 0.9274 0.8510  2 Ni 2.44-2.62
Al: 0.0763 0.5726 0.3510  2 Ni 2.44-2.62
Al: 0.0763 0.0726 0.1490  2 Ni 2.44-2.62
Al: 0.5763 0.4274 0.6490  2 Ni 2.44-2.62
Ni: 0.3048 0.6185 0.1490  2 Al 2.44-2.62, 3 Zr 2.58-2.71
Ni: 0.8048 0.3815 0.8510  2 Al 2.44-2.62, 3 Zr 2.58-2.71
Ni: 0.8048 0.8815 0.6490  2 Al 2.44-2.62, 3 Zr 2.58-2.71
Ni: 0.3048 0.1185 0.3510  2 Al 2.44-2.62, 3 Zr 2.58-2.71



Record 7
Compound: Zr6Al7Ni16
Source: the Alexandria database
Functional: PBE-GGA
Structure: relaxed

Values from the calculation:
calculated formation energy: -0.61 eV per atom

Cell lengths 8.2791, 8.2791, 8.2791 Å; angles 60.00, 60.00, 60.00 degrees
Last column: nearest neighbours and their distance in Å.
Atoms (fractional coordinates):
Zr: 0.2928 0.7072 0.2928  8 Ni 2.83-2.84, 4 Al 2.97
Zr: 0.7072 0.2928 0.7072  8 Ni 2.83-2.84, 4 Al 2.97
Zr: 0.7072 0.7072 0.2928  8 Ni 2.83-2.84, 4 Al 2.97
Zr: 0.2928 0.2928 0.7072  8 Ni 2.83-2.84, 4 Al 2.97
Zr: 0.2928 0.7072 0.7072  8 Ni 2.83-2.84, 4 Al 2.97
Zr: 0.7072 0.2928 0.2928  8 Ni 2.83-2.84, 4 Al 2.97
Ni: 0.1207 0.6380 0.1207  4 Al 2.45-2.57, 3 Ni 2.59
Ni: 0.6691 0.6691 0.6691  3 Al 2.39, 3 Ni 2.59
Ni: 0.8793 0.8793 0.3620  4 Al 2.45-2.57, 3 Ni 2.59
Ni: 0.9928 0.6691 0.6691  3 Al 2.39, 3 Ni 2.59
Ni: 0.1207 0.1207 0.1207  4 Al 2.45-2.57, 3 Ni 2.59
Ni: 0.6691 0.6691 0.9928  3 Al 2.39, 3 Ni 2.59
Ni: 0.6380 0.1207 0.1207  4 Al 2.45-2.57, 3 Ni 2.59
Ni: 0.1207 0.1207 0.6380  4 Al 2.45-2.57, 3 Ni 2.59
Ni: 0.3309 0.3309 0.3309  3 Al 2.39, 3 Ni 2.59
Ni: 0.6691 0.9928 0.6691  3 Al 2.39, 3 Ni 2.59
Ni: 0.3620 0.8793 0.8793  4 Al 2.45-2.57, 3 Ni 2.59
Ni: 0.3309 0.3309 0.0072  3 Al 2.39, 3 Ni 2.59
Ni: 0.8793 0.3620 0.8793  4 Al 2.45-2.57, 3 Ni 2.59
Ni: 0.8793 0.8793 0.8793  4 Al 2.45-2.57, 3 Ni 2.59
Ni: 0.0072 0.3309 0.3309  3 Al 2.39, 3 Ni 2.59
Ni: 0.3309 0.0072 0.3309  3 Al 2.39, 3 Ni 2.59
Al: 0.0000 0.0000 0.5000  8 Ni 2.39-2.57
Al: 0.0000 0.5000 0.5000  8 Ni 2.39-2.57
Al: 0.5000 0.0000 0.5000  8 Ni 2.39-2.57
Al: 0.0000 0.5000 0.0000  8 Ni 2.39-2.57
Al: 0.0000 0.0000 0.0000  8 Ni 2.45
Al: 0.5000 0.5000 0.0000  8 Ni 2.39-2.57
Al: 0.5000 0.0000 0.0000  8 Ni 2.39-2.57



Record 8
Compound: Zr2AlNi
Source: the Alexandria database
Functional: PBE-GGA
Structure: relaxed

Values from the calculation:
calculated formation energy: 0.06 eV per atom

Cell lengths 4.1002, 4.1002, 11.3390 Å; angles 90.00, 90.00, 120.00 degrees
Last column: nearest neighbours and their distance in Å.
Atoms (fractional coordinates):
Al: 0.3333 0.6667 0.7500  6 Zr 2.93
Al: 0.6667 0.3333 0.2500  6 Zr 2.93
Zr: 0.6667 0.3333 0.9016  3 Ni 2.62, 3 Al 2.93
Zr: 0.3333 0.6667 0.4016  3 Ni 2.62, 3 Al 2.93
Zr: 0.3333 0.6667 0.0984  3 Ni 2.62, 3 Al 2.93
Zr: 0.6667 0.3333 0.5984  3 Ni 2.62, 3 Al 2.93
Ni: 0.0000 0.0000 0.0000  6 Zr 2.62
Ni: 0.0000 0.0000 0.5000  6 Zr 2.62



Q: Among the records above, which one has the lowest calculated formation energy?
A: Zr6Al7Ni16



Q: calculated formation energy of number 1 (ZrAl2Ni)?
A: -0.48 eV per atom



Q: Among the records above, which one has the highest calculated formation energy?
A: number 8



Q: Among the records above, which one has the highest calculated formation energy?
A: number 8